Entry 1:
A plane-wave DFT calculation with PBE-GGA was carried out for ZrSi2Os after structural relaxation.

Computed properties:
Total magnetic moment: 0.00 μB per cell
Final energy: -7.90 eV/atom
Uncorrected formation energy: -240 meV per atom
Symmetry: I-4m2

The structure in extended XYZ format:
```
4
Lattice="5.019 -0.001 0.000 2.093 4.562 0.000 -3.556 -2.281 2.710" Properties=species:S:1:pos:R:3 pbc="T T T"
Zr 3.556 2.281 0.000
Si 1.046 2.281 1.355
Os 2.509 0.000 1.355
Si 0.000 0.000 0.000
```

Entry 2:
A plane-wave DFT calculation with PBE-GGA was carried out for Zr2SiOs2 after structural relaxation.

Computed properties:
Energy above the most stable polymorph in this dataset: 0 meV/atom
Total magnetic moment: 0.00 μB per cell
Final energy: -9.37 eV/atom
Uncorrected formation energy: -375 meV per atom
Symmetry: P4/mbm

The structure in extended XYZ format:
```
10
Lattice="-6.077 0.248 -1.550 0.929 -4.428 -4.350 -0.916 -3.213 3.076" Properties=species:S:1:pos:R:3 pbc="T T T"
Zr -3.838 -5.063 -3.080
Zr -0.927 -4.579 -1.707
Os -4.631 -2.621 -4.117
Zr -5.137 -2.815 -1.118
Os -0.517 -1.559 -1.783
Si -2.574 -2.090 -2.950
Os -3.760 -0.462 -1.602
Si 0.000 0.000 0.000
Zr -2.226 -2.330 0.255
Os -1.389 -3.719 -4.299
```

Entry 3:
A plane-wave DFT calculation with PBE-GGA was carried out for ZrSi2Os after structural relaxation.

Computed properties:
Total magnetic moment: 0.00 μB per cell
Final energy: -7.66 eV/atom
Uncorrected formation energy: -6 meV per atom
Symmetry: R3m

The structure in extended XYZ format:
```
4
Lattice="8.553 -0.007 -0.004 8.037 2.927 -0.004 8.037 1.415 2.563" Properties=species:S:1:pos:R:3 pbc="T T T"
Si 0.069 0.012 0.007
Si 6.327 1.114 0.656
Zr 12.335 2.171 1.280
Os 18.208 3.205 1.889
```

Entry 4:
A plane-wave DFT calculation with PBE-GGA was carried out for ZrSi2Os after structural relaxation.

Computed properties:
Total magnetic moment: 0.00 μB per cell
Final energy: -7.79 eV/atom
Uncorrected formation energy: -132 meV per atom
Symmetry: R-3m

The structure in extended XYZ format:
```
4
Lattice="-0.894 -6.442 5.449 1.818 -7.057 4.347 1.525 -5.111 6.599" Properties=species:S:1:pos:R:3 pbc="T T T"
Zr 0.612 -4.652 4.099
Si 0.026 -0.199 0.175
Si 1.198 -9.106 8.022
Os 1.837 -13.957 12.296
```

Entry 5:
A plane-wave DFT calculation with PBE-GGA was carried out for ZrSiOs after structural relaxation.

Computed properties:
Total magnetic moment: 0.00 μB per cell
Final energy: -9.19 eV/atom
Uncorrected formation energy: -786 meV per atom
Symmetry: P2_1/m

The structure in extended XYZ format:
```
18
Lattice="-3.538 -0.807 1.577 -2.550 -0.624 -6.038 2.501 -11.003 -0.017" Properties=species:S:1:pos:R:3 pbc="T T T"
Os -1.868 -5.820 -4.685
Si -1.489 -9.016 -0.506
Si -0.574 -10.675 -4.265
Os -1.719 -6.614 0.207
Os -1.262 -2.672 -1.715
Zr -1.663 -8.580 -5.636
Zr -3.031 -5.025 -1.923
Zr -4.136 -1.902 -2.806
Zr -0.556 -7.408 -2.555
Os -3.173 -1.796 -5.556
Si -0.385 -4.948 -0.912
Zr -1.924 -3.853 1.158
Si -3.013 -1.758 -0.213
Zr 0.549 -10.531 -1.672
Si -3.202 -7.485 -3.566
Os -0.414 -10.637 1.078
Si -2.098 -3.417 -3.972
Os -2.325 -9.762 -2.763
```

Entry 6:
A plane-wave DFT calculation with PBE-GGA was carried out for Zr4SiOs after structural relaxation.

Computed properties:
Total magnetic moment: 0.00 μB per cell
Final energy: -7.94 eV/atom
Uncorrected formation energy: 539 meV per atom
Symmetry: F-43m

The structure in extended XYZ format:
```
6
Lattice="0.000 3.902 3.902 3.902 0.000 3.902 3.902 3.902 0.000" Properties=species:S:1:pos:R:3 pbc="T T T"
Os 5.853 5.853 5.853
Zr 2.932 4.872 4.872
Zr 2.932 2.932 2.932
Zr 4.872 2.932 4.872
Si 0.000 0.000 0.000
Zr 4.872 4.872 2.932
```

Entry 7:
A plane-wave DFT calculation with PBE-GGA was carried out for ZrSiOs2 after structural relaxation.

Computed properties:
Total magnetic moment: 0.00 μB per cell
Final energy: -9.27 eV/atom
Uncorrected formation energy: -164 meV per atom
Symmetry: P4mm

The structure in extended XYZ format:
```
4
Lattice="-1.900 1.824 -1.195 -2.161 -1.791 0.702 -0.766 3.487 6.542" Properties=species:S:1:pos:R:3 pbc="T T T"
Si -0.357 1.624 3.047
Os -2.236 0.953 1.509
Os -0.024 0.111 0.209
Zr -2.593 2.576 4.554
```

Entry 8:
A plane-wave DFT calculation with PBE-GGA was carried out for ZrSi2Os after structural relaxation.

Computed properties:
Total magnetic moment: 0.00 μB per cell
Final energy: -8.00 eV/atom
Uncorrected formation energy: -349 meV per atom
Symmetry: Pm

The structure in extended XYZ format:
```
4
Lattice="-0.627 -3.867 -1.753 2.521 -1.086 1.494 -1.385 -1.734 4.320" Properties=species:S:1:pos:R:3 pbc="T T T"
Si -0.783 -1.875 4.416
Zr 0.651 -1.237 2.495
Os 0.415 -4.243 3.956
Si -0.590 -2.476 0.419
```

Entry 9:
A plane-wave DFT calculation with PBE-GGA was carried out for ZrSi2Os after structural relaxation.

Computed properties:
Total magnetic moment: 0.00 μB per cell
Final energy: -8.04 eV/atom
Uncorrected formation energy: -388 meV per atom
Symmetry: Imm2

The structure in extended XYZ format:
```
4
Lattice="6.336 0.025 -0.007 4.477 4.483 0.007 -5.204 -2.740 2.357" Properties=species:S:1:pos:R:3 pbc="T T T"
Os 1.969 1.844 1.182
Si 0.579 0.241 0.000
Si 3.591 -0.096 1.175
Zr 4.877 2.033 0.000
```

Entry 10:
A plane-wave DFT calculation with PBE-GGA was carried out for ZrSi4Os4 after structural relaxation.

Computed properties:
Total magnetic moment: 0.00 μB per cell
Final energy: -8.54 eV/atom
Uncorrected formation energy: -188 meV per atom
Symmetry: P4_2/nmc

The structure in extended XYZ format:
```
18
Lattice="-3.442 3.439 3.375 -3.613 0.901 -4.604 -4.285 -6.366 2.117" Properties=species:S:1:pos:R:3 pbc="T T T"
Os -3.086 1.194 0.831
Si -3.297 -0.035 -1.227
Os -3.538 -3.030 2.184
Os -8.209 -2.559 2.134
Os -6.417 -4.349 0.377
Si -5.941 -3.284 2.481
Zr 0.000 0.000 0.000
Si -5.348 2.014 0.784
Si -4.013 -4.095 0.079
Si -3.764 0.412 3.035
Si -2.373 -0.978 1.671
Si -8.094 -2.747 -0.262
Os -5.188 -1.381 3.801
Os -2.584 -2.207 -0.387
Os -4.968 1.663 -1.566
Zr -5.670 -1.013 0.444
Os -4.316 -1.774 -2.593
Si -5.474 -3.731 -1.781
```

Entry 11:
A plane-wave DFT calculation with PBE-GGA was carried out for ZrSiOs after structural relaxation.

Computed properties:
Total magnetic moment: 0.00 μB per cell
Final energy: -7.98 eV/atom
Uncorrected formation energy: 420 meV per atom
Symmetry: F-43m

The structure in extended XYZ format:
```
3
Lattice="-0.672 2.911 -3.219 -4.002 0.452 -1.752 -2.341 3.634 0.779" Properties=species:S:1:pos:R:3 pbc="T T T"
Os 0.000 0.000 0.000
Zr -5.261 5.248 -3.143
Si -3.507 3.499 -2.096
```

Entry 12:
A plane-wave DFT calculation with PBE-GGA was carried out for ZrSi2Os2 after structural relaxation.

Computed properties:
Total magnetic moment: 0.00 μB per cell
Final energy: -8.75 eV/atom
Uncorrected formation energy: -384 meV per atom
Symmetry: P4/mbm

The structure in extended XYZ format:
```
10
Lattice="-2.372 3.779 -5.666 -5.817 1.997 3.767 1.405 2.304 0.949" Properties=species:S:1:pos:R:3 pbc="T T T"
Si -2.413 1.255 0.526
Zr -4.095 2.888 -0.950
Si -2.365 2.721 -3.106
Os -3.421 3.007 2.076
Os -0.995 2.777 -0.959
Zr 0.000 0.000 0.000
Os -5.790 5.303 0.009
Si -5.825 3.055 1.207
Si -5.777 4.521 -2.425
Os -3.363 5.073 -3.027
```